1.
Entry from the Alexandria database: a geometry-optimized CsNa2CrS structure (PBE-GGA).

a = 5.4136 Å, b = 5.4136 Å, c = 6.8396 Å
α = 90.00°, β = 90.00°, γ = 90.00°
With the nearest neighbours (Å) after each atom.
Space group P4/mmm (No. 123)
One atom of each set of equivalent atoms:
Cs  0.0000  0.0000  0.0000 (multiplicity 1)  2 S 3.42, 4 Cr 3.83
Na  0.0000  0.5000  0.5000 (multiplicity 2)  2 S 2.71
Cr  0.5000  0.5000  0.0000 (multiplicity 1)  4 Cs 3.83
S  0.0000  0.0000  0.5000 (multiplicity 1)  4 Na 2.71

**M_tot**: 1.00 μB per atom
**Crystal system**: tetragonal
**Final energy**: -0.1252 Ha/atom
**Formation energy without anion corrections**: 43 meV per atom



2.
Entry from the Alexandria database: a geometry-optimized Cs2NaCrSe4 structure (PBE-GGA).

a = 6.6225 Å, b = 14.2677 Å, c = 25.4443 Å
α = 90.00°, β = 90.00°, γ = 90.00°
With the nearest neighbours (Å) after each atom.
Space group Fddd (No. 70, origin choice 2)
One atom of each set of equivalent atoms:
Cs  0.1250  0.1250  0.3044 (multiplicity 16)  6 Se 3.70-4.05
Na  0.1250  0.1250  0.1250 (multiplicity 8)  4 Se 2.79
Cr  0.1250  0.1250  0.6250 (multiplicity 8)  4 Se 2.28
Se  0.0661  0.2807  0.8222 (multiplicity 32)  1 Cr 2.28

**M_tot**: 0.12 μB per atom
**Crystal system**: orthorhombic
**Final energy**: -0.1528 Ha/atom
**Formation energy without anion corrections**: -835 meV per atom



3.
Entry from the Alexandria database: a geometry-optimized CsNaCrSe3 structure (PBE-GGA).

a = 7.5049 Å, b = 13.7359 Å, c = 7.0589 Å
α = 90.00°, β = 90.00°, γ = 90.00°
With the nearest neighbours (Å) after each atom.
Space group Cmcm (No. 63)
One atom of each set of equivalent atoms:
Cs  0.0000  0.2430  0.2500 (multiplicity 4)  4 Se 3.55-3.79
Na  0.0000  0.4267  0.7500 (multiplicity 4)  5 Se 2.86-2.96
Cr  0.0000  0.0515  0.7500 (multiplicity 4)  5 Se 2.29-2.49
Se  0.0000  0.2182  0.7500 (multiplicity 4)  1 Cr 2.29
Se  0.2133  0.0000  0.0000 (multiplicity 8)  2 Cr 2.49

**M_tot**: 0.33 μB per atom
**Crystal system**: orthorhombic
**Final energy**: -0.1657 Ha/atom
**Formation energy without anion corrections**: -801 meV per atom